# 1
# Pr3Re3W2N12 | OQMD | PBE-GGA | relaxed
# - Uncorrected energy: -9.451 eV per atom
# - Magnetization: 0.15 μB per formula unit
data_Pr3Re3W2N12
_chemical_formula_sum 'Pr24 Re24 W16 N96'
_cell_length_a 12.965
_cell_length_b 12.965
_cell_length_c 12.965
_cell_angle_alpha 90.00
_cell_angle_beta 90.00
_cell_angle_gamma 90.00
_space_group_name_H-M_alt 'I a -3 d'
_space_group_IT_number 230
_space_group_name_Hall '-I 4bd 2c 3'
loop_
_atom_site_label
_atom_site_fract_x
_atom_site_fract_y
_atom_site_fract_z
Pr1 0.000 0.250 0.125
Re1 0.000 0.250 0.375
W1 0.000 0.000 0.000
N1 0.035 0.045 0.648

# 2
# Pr3SN2 | OQMD | PBE-GGA | relaxed
# - Uncorrected energy: -7.425 eV per atom
# - Magnetization: 0.00 μB per formula unit
data_Pr3SN2
_chemical_formula_sum 'Pr3 S1 N2'
_cell_length_a 3.7658
_cell_length_b 3.7658
_cell_length_c 9.6196
_cell_angle_alpha 90.00
_cell_angle_beta 90.00
_cell_angle_gamma 120.00
_space_group_name_H-M_alt 'P -3 m 1'
_space_group_IT_number 164
_space_group_name_Hall '-P 3 2"'
loop_
_atom_site_label
_atom_site_fract_x
_atom_site_fract_y
_atom_site_fract_z
Pr1 0.0000 0.0000 0.0000
Pr2 0.3333 0.6667 0.2973
S1 0.0000 0.0000 0.5000
N1 0.3333 0.6667 0.8383

# 3
# Pr4S3N2 | OQMD | PBE-GGA | relaxed
# - Uncorrected energy: -7.137 eV per atom
# - Magnetization: 0.00 μB per formula unit
data_Pr4S3N2
_chemical_formula_sum 'Pr32 S24 N16'
_cell_length_a 18.012
_cell_length_b 9.968
_cell_length_c 12.768
_cell_angle_alpha 90.00
_cell_angle_beta 134.44
_cell_angle_gamma 90.00
_space_group_name_H-M_alt 'C 1 2/c 1'
_space_group_IT_number 15
loop_
_space_group_symop_operation_xyz
'x,y,z'
'-x,-y,-z'
'-x,y,-z+1/2'
'x,-y,z+1/2'
'x+1/2,y+1/2,z'
'-x+1/2,-y+1/2,-z'
'-x+1/2,y+1/2,-z+1/2'
'x+1/2,-y+1/2,z+1/2'
loop_
_atom_site_label
_atom_site_fract_x
_atom_site_fract_y
_atom_site_fract_z
Pr1 0.092 0.206 0.185
Pr2 0.117 0.196 0.746
Pr3 0.135 0.448 0.523
Pr4 0.177 0.041 0.563
S1 0.000 0.021 0.250
S2 0.100 0.497 0.226
S3 0.139 0.249 0.008
S4 0.250 0.250 0.500
N1 0.084 0.230 0.537
N2 0.192 0.006 0.257